[1]
The following is a GGA-PBE calculation of crystalline BaFe2Os at its relaxed geometry, from the Alexandria database.

Values from the calculation:
Its space-group type is No. 160. The value obtained for the calculated total energy is -7.12 eV/atom. The calculation puts the formation energy at 0.398 eV per atom.

a b c (Å): 4.1928 4.1928 6.3404
angles (deg): 70.71 70.71 60.01
Each line ends with the local moment (μB).
Fractional positions:
1 Fe 0.0634 0.0634 0.8100  2.27
2 Fe 0.7540 0.7540 0.7385  1.76
3 Ba 0.2483 0.2483 0.2542  -0.07
4 Os 0.4343 0.4343 0.6973  -0.04

---

[2]
The following is a GGA-PBE calculation of crystalline Sr3CeTh2P6 at its relaxed geometry, from the Alexandria database.

Values from the calculation:
Its space-group type is No. 12. The value obtained for the calculated total energy is -6.22 eV/atom. The calculation puts the formation energy at -1.360 eV per atom.

a b c (Å): 7.3622 7.3622 7.4190
angles (deg): 99.52 99.52 119.99
Fractional positions:
1 Sr 0.8332 0.1668 0.5000
2 Sr 0.1668 0.8332 0.5000
3 Sr 0.5000 0.5000 0.5000
4 P 0.0739 0.4041 0.2219
5 P 0.5959 0.9261 0.7781
6 P 0.4041 0.0739 0.2219
7 P 0.7438 0.7438 0.2218
8 P 0.9261 0.5959 0.7781
9 P 0.2562 0.2562 0.7782
10 Th 0.6666 0.3334 0.0000
11 Th 0.3334 0.6666 0.0000
12 Ce 0.0000 0.0000 0.0000

---

[3]
The following is a GGA-PBE calculation of crystalline BaMo2Se at its relaxed geometry, from the Alexandria database.

Values from the calculation:
Its space-group type is No. 122. The value obtained for the uncorrected formation energy is 462 meV/atom. The value obtained for the calculated total energy is -6.31 eV/atom.

a b c (Å): 4.7940 4.7940 9.9521
angles (deg): 76.06 76.06 90.00
Fractional positions:
1 Mo 0.4088 0.6250 0.2500
2 Mo 0.8750 0.5912 0.7500
3 Mo 0.3750 0.6588 0.7500
4 Mo 0.3412 0.1250 0.2500
5 Se 0.2500 0.7500 0.5000
6 Se 0.5000 0.5000 0.0000
7 Ba 0.7500 0.2500 0.5000
8 Ba 0.0000 0.0000 0.0000

---

[4]
The following is a GGA-PBE calculation of crystalline Mg2ZrCrCl at its relaxed geometry, from the Alexandria database.

Values from the calculation:
Its space-group type is No. 123. The value obtained for the uncorrected formation energy is 575 meV/atom. The value obtained for the calculated total energy is -4.07 eV/atom.

a b c (Å): 4.8530 4.2619 4.8530
angles (deg): 90.00 90.00 90.00
Fractional positions:
1 Mg 0.5000 0.0000 0.0000
2 Mg 0.0000 0.0000 0.5000
3 Cl 0.0000 0.0000 0.0000
4 Zr 0.5000 0.5000 0.5000
5 Cr 0.0000 0.5000 0.0000

---

[5]
The following is a GGA-PBE calculation of crystalline Tb4AlZn2Cu at its relaxed geometry, from the Alexandria database.

Values from the calculation:
Its space-group type is No. 166. The value obtained for the calculated total energy is -3.93 eV/atom. The calculation puts the formation energy at -0.321 eV per atom.

a b c (Å): 5.0465 5.0465 8.7545
angles (deg): 73.25 73.25 60.00
Fractional positions:
1 Tb 0.6219 0.6219 0.1342
2 Tb 0.1276 0.1276 0.6172
3 Tb 0.3781 0.3781 0.8658
4 Tb 0.8724 0.8724 0.3828
5 Zn 0.2539 0.2539 0.2384
6 Zn 0.7461 0.7461 0.7616
7 Cu 0.5000 0.5000 0.5000
8 Al 0.0000 0.0000 0.0000

---

[6]
The following is a GGA-PBE calculation of crystalline Sc2RhBr at its relaxed geometry, from the Alexandria database.

Values from the calculation:
Its space-group type is No. 6. The value obtained for the uncorrected formation energy is -669 meV/atom. The value obtained for the calculated total energy is -6.09 eV/atom.

a b c (Å): 4.5037 3.2969 6.2247
angles (deg): 59.94 90.00 90.00
Fractional positions:
1 Rh 0.5000 0.5873 0.8704
2 Br 0.0000 0.6442 0.3888
3 Sc 0.5000 0.1869 0.3557
4 Sc 0.0000 0.0816 0.8851

---

[7]
The following is a GGA-PBE calculation of crystalline Li2SiPb at its relaxed geometry, from the Alexandria database.

Values from the calculation:
Its space-group type is No. 139. The value obtained for the uncorrected formation energy is -84 meV/atom. The value obtained for the calculated total energy is -3.32 eV/atom.

a b c (Å): 5.2264 5.2264 5.2264
angles (deg): 132.95 132.93 68.75
Fractional positions:
1 Pb 0.7500 0.2500 0.5000
2 Li 0.0002 0.0002 0.0000
3 Li 0.4998 0.4998 0.0000
4 Si 0.2500 0.7500 0.5000

---

[8]
The following is a GGA-PBE calculation of crystalline LiNdCu2 at its relaxed geometry, from the Alexandria database.

Values from the calculation:
Its space-group type is No. 123. The value obtained for the calculated total energy is -3.75 eV/atom. The calculation puts the formation energy at -0.028 eV per atom.

a b c (Å): 3.3821 3.3821 6.4333
angles (deg): 90.00 90.00 90.00
Fractional positions:
1 Nd 0.5000 0.5000 0.5000
2 Cu 0.0000 0.0000 0.1943
3 Cu 0.0000 0.0000 0.8057
4 Li 0.5000 0.5000 0.0000

---

[9]
The following is a GGA-PBE calculation of crystalline La3Pr6Tl at its relaxed geometry, from the Alexandria database.

Values from the calculation:
Its space-group type is No. 36. The value obtained for the calculated total energy is -4.55 eV/atom. The calculation puts the formation energy at 0.035 eV per atom.

a b c (Å): 6.5889 10.5288 10.5288
angles (deg): 101.07 90.00 90.00
Fractional positions:
1 La 0.4289 0.8957 0.7158
2 La 0.9289 0.7158 0.8957
3 La 0.4289 0.2842 0.1043
4 La 0.1034 0.3581 0.6419
5 La 0.6034 0.6419 0.3581
6 La 0.9289 0.1043 0.2842
7 Pr 0.1108 0.4294 0.3262
8 Pr 0.2673 0.9547 0.0453
9 Pr 0.6108 0.5706 0.6738
10 Pr 0.8907 0.4167 0.0307
11 Pr 0.1002 0.7480 0.2520
12 Pr 0.1108 0.6738 0.5706
13 Pr 0.6108 0.3262 0.4294
14 Pr 0.3907 0.0307 0.4167
15 Pr 0.7673 0.0453 0.9547
16 Pr 0.6002 0.2520 0.7480
17 Pr 0.8907 0.9693 0.5833
18 Pr 0.3907 0.5833 0.9693
19 Tl 0.1536 0.1630 0.8370
20 Tl 0.6536 0.8370 0.1630

---

[10]
The following is a GGA-PBE calculation of crystalline TbPaZn at its relaxed geometry, from the Alexandria database.

Values from the calculation:
Its space-group type is No. 194. The value obtained for the calculated total energy is -5.05 eV/atom. The calculation puts the formation energy at 0.086 eV per atom.

a b c (Å): 5.2378 5.2378 6.0931
angles (deg): 90.00 90.00 120.01
Each line ends with the local moment (μB).
Fractional positions:
1 Zn 0.6666 0.3334 0.2500  0.00
2 Zn 0.3334 0.6666 0.7500  0.00
3 Pa 0.0000 0.0000 0.5000  0.81
4 Pa 0.0000 0.0000 0.0000  0.81
5 Tb 0.6667 0.3333 0.7500  0.10
6 Tb 0.3333 0.6667 0.2500  0.10

---

[11]
The following is a GGA-PBE calculation of crystalline Si2NiIr at its relaxed geometry, from the Alexandria database.

Values from the calculation:
Its space-group type is No. 160. The value obtained for the uncorrected formation energy is -139 meV/atom. The value obtained for the calculated total energy is -6.51 eV/atom.

a b c (Å): 7.6558 7.6558 7.6558
angles (deg): 21.60 21.60 21.60
Fractional positions:
1 Ni 0.7412 0.7412 0.7412
2 Ir 0.5048 0.5048 0.5048
3 Si 0.0042 0.0042 0.0042
4 Si 0.2497 0.2497 0.2497

---

[12]
The following is a GGA-PBE calculation of crystalline LiCdTc2 at its relaxed geometry, from the Alexandria database.

Values from the calculation:
Its space-group type is No. 65. The value obtained for the calculated total energy is -5.41 eV/atom. The calculation puts the formation energy at 0.476 eV per atom.

a b c (Å): 2.6475 2.6475 9.4173
angles (deg): 90.00 90.00 106.65
Fractional positions:
1 Li 0.5000 0.5000 0.7500
2 Tc 0.0000 0.0000 0.5089
3 Tc 0.0000 0.0000 0.9911
4 Cd 0.5000 0.5000 0.2500